# 1
A geometry-optimized RbTiIn structure, computed with PBE.

abc: 4.603 7.575 7.676
angles: 116.76 102.02 99.40
Space group P-1 (No. 2)
Asymmetric unit:
1 Rb 0.017 0.286 0.218 x2
2 Ti 0.257 0.945 0.448 x2
3 In 0.387 0.306 0.808 x2

Summary:
- Formation enthalpy at 0 K: 39.74 kJ per mole of atoms
- M_tot: 0.63 Bohr magnetons per cell
- Mass density: 3.7 g/cm³
- Polymorph energy (0 for the lowest one): 311 meV/atom

# 2
A geometry-optimized RbTiVIn2 structure, computed with PBE.

abc: 5.319 5.319 5.525
angles: 90.00 90.00 90.00
Space group P4/mmm (No. 123)
Asymmetric unit:
1 Rb 0.000 0.000 0.000 x1
2 Ti 0.500 0.500 0.000 x1
3 V 0.000 0.000 0.500 x1
4 In 0.000 0.500 0.500 x2

Summary:
- Formation enthalpy at 0 K: 117.11 kJ per mole of atoms
- M_tot: 4.58 Bohr magnetons per cell
- Mass density: 4.4 g/cm³

# 3
A geometry-optimized RbTl2In2 structure, computed with PBE.

abc: 9.537 9.537 3.626
angles: 90.00 90.00 90.00
Space group P4/mbm (No. 127)
Asymmetric unit:
1 Rb 0.000 0.000 0.000 x2
2 Tl 0.164 0.336 0.500 x4
3 In 0.126 0.626 0.000 x4

Summary:
- Formation enthalpy at 0 K: -2.83 kJ per mole of atoms
- M_tot: 0.00 Bohr magnetons per cell
- Mass density: 7.3 g/cm³
- Polymorph energy (0 for the lowest one): 57 meV/atom

# 4
A geometry-optimized RbTl6In4 structure, computed with PBE.

abc: 9.2030 9.2030 4.9306
angles: 90.00 90.00 120.00
Space group P-6m2 (No. 187)
Asymmetric unit:
1 Rb 0.0000 0.0000 0.0000 x1
2 Tl 0.1992 0.3984 0.5000 x3
3 Tl 0.5332 0.0664 0.0000 x3
4 In 0.3333 0.6667 0.0000 x1
5 In 0.4221 0.2110 0.5000 x3

Summary:
- Formation enthalpy at 0 K: -1.94 kJ per mole of atoms
- M_tot: 0.00 Bohr magnetons per cell
- Mass density: 8.1 g/cm³

# 5
A geometry-optimized Rb3Tl3In2 structure, computed with PBE.

abc: 5.107 14.292 18.100
angles: 90.00 90.00 90.00
Space group Cmcm (No. 63)
Asymmetric unit:
1 Rb 0.000 0.146 0.054 x8
2 Rb 0.000 0.250 0.250 x4
3 Tl 0.000 0.440 0.081 x8
4 Tl 0.000 0.445 0.750 x4
5 In 0.000 0.078 0.670 x8

Summary:
- Formation enthalpy at 0 K: -8.12 kJ per mole of atoms
- M_tot: 0.00 Bohr magnetons per cell
- Mass density: 5.5 g/cm³

# 6
A geometry-optimized Rb6TlIn structure, computed with PBE.

abc: 4.934 14.343 15.803
angles: 90.00 90.00 90.00
Space group Amm2 (No. 38)
Asymmetric unit:
1 Rb 0.000 0.000 0.000 x2
2 Rb 0.000 0.159 0.709 x4
3 Rb 0.500 0.000 0.272 x2
4 Rb 0.500 0.219 0.459 x4
5 Tl 0.500 0.000 0.590 x2
6 In 0.000 0.000 0.476 x2

Summary:
- Formation enthalpy at 0 K: -0.63 kJ per mole of atoms
- M_tot: 0.00 Bohr magnetons per cell
- Mass density: 2.5 g/cm³

# 7
A geometry-optimized RbTlIn structure, computed with PBE.

abc: 3.991 3.991 13.950
angles: 90.00 90.00 90.00
Space group I4mm (No. 107)
Asymmetric unit:
1 Rb 0.000 0.000 0.000 x2
2 Tl 0.000 0.000 0.691 x2
3 In 0.000 0.000 0.309 x2

Summary:
- Formation enthalpy at 0 K: -3.50 kJ per mole of atoms
- M_tot: 0.00 Bohr magnetons per cell
- Mass density: 6.0 g/cm³
- Polymorph energy (0 for the lowest one): 63 meV/atom

# 8
A geometry-optimized RbTl10In2 structure, computed with PBE.

abc: 6.485 16.061 16.229
angles: 90.00 90.00 90.00
Space group Fmmm (No. 69)
Asymmetric unit:
1 Rb 0.000 0.000 0.000 x4
2 Tl 0.000 0.106 0.390 x16
3 Tl 0.000 0.176 0.180 x16
4 Tl 0.250 0.250 0.000 x8
5 In 0.250 0.000 0.250 x8

Summary:
- Formation enthalpy at 0 K: -1.43 kJ per mole of atoms
- M_tot: 0.00 Bohr magnetons per cell
- Mass density: 9.3 g/cm³

# 9
A geometry-optimized RbTlIn3 structure, computed with PBE.

abc: 6.334 6.334 6.334
angles: 90.00 90.00 90.00
Space group Pm-3m (No. 221)
Asymmetric unit:
1 Rb 0.000 0.000 0.000 x1
2 Tl 0.500 0.500 0.500 x1
3 In 0.000 0.000 0.500 x3

Summary:
- Formation enthalpy at 0 K: 82.44 kJ per mole of atoms
- M_tot: 0.00 Bohr magnetons per cell
- Mass density: 4.1 g/cm³
- Polymorph energy (0 for the lowest one): 945 meV/atom

# 10
A geometry-optimized RbTl2In structure, computed with PBE.

abc: 8.094 8.094 8.094
angles: 90.00 90.00 90.00
Space group Fm-3m (No. 225)
Asymmetric unit:
1 Rb 0.000 0.000 0.000 x4
2 Tl 0.250 0.250 0.250 x8
3 In 0.000 0.000 0.500 x4

Summary:
- Formation enthalpy at 0 K: -0.85 kJ per mole of atoms
- M_tot: 0.00 Bohr magnetons per cell
- Mass density: 7.6 g/cm³
- Polymorph energy (0 for the lowest one): 84 meV/atom

The lowest mass density belongs to which entry?
Rb6TlIn